(1)
Density functional theory data (PBE-GGA) for a relaxed NiAs3Se crystal.

Calculated values
Offset from the most stable computed form = 0 meV/atom
DFT total energy = -20.90 eV for the cell shown
Crystal system = cubic
Formation energy without anion corrections = 463 meV per atom
DOS(E_F) = 7.1 states/eV/f.u.
M_tot = 0.00 μB/cell

a b c (Å): 4.638 4.638 4.638
angles (deg): 90.00 90.00 90.00
Space group Pm-3m (No. 221)
Inequivalent atoms, fractional coordinates:
Ni 0.000 0.000 0.000
As 0.000 0.000 0.500
Se 0.500 0.500 0.500

(2)
Density functional theory data (PBE-GGA) for a relaxed Ni2AsSe3 crystal.

Calculated values
DFT total energy = -55.92 eV for the cell shown
Crystal system = trigonal
Formation energy without anion corrections = -215 meV per atom
DOS(E_F) = 3.5 states/eV/f.u.
M_tot = 0.00 μB/cell

a b c (Å): 7.2225 7.2225 4.7635
angles (deg): 90.00 90.00 120.00
Space group P-3m1 (No. 164)
Inequivalent atoms, fractional coordinates:
Ni 0.0000 0.0000 0.0000
Ni 0.0000 0.5000 0.0000
As 0.3333 0.6667 0.7297
Se 0.1723 0.3445 0.2482

(3)
Density functional theory data (PBE-GGA) for a relaxed Ni2AsSe crystal.

Calculated values
DFT total energy = -77.93 eV for the cell shown
Crystal system = cubic
Formation energy without anion corrections = 54 meV per atom
DOS(E_F) = 1.4 states/eV/f.u.
M_tot = 0.00 μB/cell

a b c (Å): 6.104 6.104 6.104
angles (deg): 90.00 90.00 90.00
Space group Fm-3m (No. 225)
Inequivalent atoms, fractional coordinates:
Ni 0.250 0.250 0.250
As 0.000 0.000 0.000
Se 0.000 0.000 0.500

(4)
Density functional theory data (PBE-GGA) for a relaxed Ni3AsSe crystal.

Calculated values
Offset from the most stable computed form = 0 meV/atom
DFT total energy = -53.39 eV for the cell shown
Crystal system = orthorhombic
Formation energy without anion corrections = -244 meV per atom
DOS(E_F) = 4.0 states/eV/f.u.
M_tot = 0.00 μB/cell

a b c (Å): 3.758 6.783 5.940
angles (deg): 90.00 90.00 90.00
Space group Pmc2_1 (No. 26)
Inequivalent atoms, fractional coordinates:
Ni 0.000 0.078 0.000
Ni 0.000 0.301 0.615
Ni 0.500 0.186 0.346
As 0.500 0.142 0.747
Se 0.000 0.367 0.228

(5)
Density functional theory data (PBE-GGA) for a relaxed Ni2AsSe crystal.

Calculated values
DFT total energy = -71.51 eV for the cell shown
Crystal system = cubic
Formation energy without anion corrections = 455 meV per atom
DOS(E_F) = 4.0 states/eV/f.u.
M_tot = 0.00 μB/cell

a b c (Å): 6.195 6.195 6.195
angles (deg): 90.00 90.00 90.00
Space group F-43m (No. 216)
Inequivalent atoms, fractional coordinates:
Ni 0.000 0.000 0.000
Ni 0.250 0.250 0.250
As 0.000 0.000 0.500
Se 0.250 0.250 0.750

(6)
Density functional theory data (PBE-GGA) for a relaxed Ni2AsSe crystal.

Calculated values
DFT total energy = -19.46 eV for the cell shown
Crystal system = orthorhombic
Formation energy without anion corrections = 60 meV per atom
DOS(E_F) = 1.5 states/eV/f.u.
M_tot = 0.00 μB/cell

a b c (Å): 3.045 3.124 5.979
angles (deg): 90.00 90.00 90.00
Space group Pmmm (No. 47)
Inequivalent atoms, fractional coordinates:
Ni 0.000 0.000 0.240
As 0.500 0.500 0.000
Se 0.500 0.500 0.500

(7)
Density functional theory data (PBE-GGA) for a relaxed Ni2AsSe crystal.

Calculated values
DFT total energy = -38.17 eV for the cell shown
Crystal system = tetragonal
Formation energy without anion corrections = 153 meV per atom
DOS(E_F) = 2.3 states/eV/f.u.
M_tot = 0.00 μB/cell

a b c (Å): 3.586 3.586 9.007
angles (deg): 90.00 90.00 90.00
Space group I-4m2 (No. 119)
Inequivalent atoms, fractional coordinates:
Ni 0.000 0.000 0.000
Ni 0.000 0.500 0.250
As 0.000 0.000 0.500
Se 0.000 0.500 0.750

(8)
Density functional theory data (PBE-GGA) for a relaxed Ni2AsSe crystal.

Calculated values
DFT total energy = -59.61 eV for the cell shown
Crystal system = trigonal
Formation energy without anion corrections = -43 meV per atom
DOS(E_F) = 2.8 states/eV/f.u.
M_tot = 0.00 μB/cell

a b c (Å): 3.7104 3.7104 15.5275
angles (deg): 90.00 90.00 120.00
Space group R3m (No. 160, hexagonal axes)
Inequivalent atoms, fractional coordinates:
Ni 0.0000 0.0000 0.0000
Ni 0.0000 0.0000 0.1854
As 0.0000 0.0000 0.5895
Se 0.0000 0.0000 0.7634

(9)
Density functional theory data (PBE-GGA) for a relaxed Ni2AsSe crystal.

Calculated values
DFT total energy = -40.02 eV for the cell shown
Crystal system = monoclinic
Formation energy without anion corrections = -79 meV per atom
DOS(E_F) = 2.6 states/eV/f.u.
M_tot = 0.00 μB/cell

a b c (Å): 5.249 5.250 5.445
angles (deg): 90.00 90.10 90.00
Space group C2 (No. 5)
Inequivalent atoms, fractional coordinates:
Ni 0.250 0.000 0.248
As 0.000 0.250 0.500
Se 0.000 0.750 0.000

(10)
Density functional theory data (PBE-GGA) for a relaxed Ni2As2Se crystal.

Calculated values
Offset from the most stable computed form = 0 meV/atom
DFT total energy = -48.10 eV for the cell shown
Crystal system = tetragonal
Formation energy without anion corrections = 59 meV per atom
DOS(E_F) = 3.4 states/eV/f.u.
M_tot = 0.00 μB/cell

a b c (Å): 6.879 6.879 3.300
angles (deg): 90.00 90.00 90.00
Space group P4/mbm (No. 127)
Inequivalent atoms, fractional coordinates:
Ni 0.131 0.369 0.000
As 0.145 0.645 0.500
Se 0.000 0.000 0.000

(11)
Density functional theory data (PBE-GGA) for a relaxed Ni2AsSe crystal.

Calculated values
DFT total energy = -60.41 eV for the cell shown
Crystal system = trigonal
Formation energy without anion corrections = -110 meV per atom
DOS(E_F) = 0.5 states/eV/f.u.
M_tot = 0.00 μB/cell

a b c (Å): 3.7383 3.7383 17.6538
angles (deg): 90.00 90.00 120.00
Space group R3m (No. 160, hexagonal axes)
Inequivalent atoms, fractional coordinates:
Ni 0.0000 0.0000 0.0000
Ni 0.0000 0.0000 0.2641
As 0.0000 0.0000 0.5575
Se 0.0000 0.0000 0.7214

(12)
Density functional theory data (PBE-GGA) for a relaxed Ni2As2Se crystal.

Calculated values
Offset from the most stable computed form = 34 meV/atom
DFT total energy = -47.76 eV for the cell shown
Crystal system = tetragonal
Formation energy without anion corrections = 93 meV per atom
DOS(E_F) = 2.7 states/eV/f.u.
M_tot = 0.00 μB/cell

a b c (Å): 4.058 4.058 10.134
angles (deg): 90.00 90.00 90.00
Space group I4/mmm (No. 139)
Inequivalent atoms, fractional coordinates:
Ni 0.000 0.500 0.250
As 0.000 0.000 0.128
Se 0.000 0.000 0.500

(13)
Density functional theory data (PBE-GGA) for a relaxed Ni2AsSe crystal.

Calculated values
DFT total energy = -20.30 eV for the cell shown
Crystal system = tetragonal
Formation energy without anion corrections = -150 meV per atom
DOS(E_F) = 2.3 states/eV/f.u.
M_tot = 0.00 μB/cell

a b c (Å): 3.174 3.174 6.648
angles (deg): 90.00 90.00 90.00
Space group P4mm (No. 99)
Inequivalent atoms, fractional coordinates:
Ni 0.000 0.000 0.000
Ni 0.500 0.500 0.210
As 0.500 0.500 0.840
Se 0.000 0.000 0.357

(14)
Density functional theory data (PBE-GGA) for a relaxed Ni2AsSe crystal.

Calculated values
DFT total energy = -80.15 eV for the cell shown
Crystal system = tetragonal
Formation energy without anion corrections = -85 meV per atom
DOS(E_F) = 3.2 states/eV/f.u.
M_tot = 0.00 μB/cell

a b c (Å): 5.333 5.333 10.561
angles (deg): 90.00 90.00 90.00
Space group I-42d (No. 122)
Inequivalent atoms, fractional coordinates:
Ni 0.249 0.250 0.125
As 0.000 0.000 0.000
Se 0.000 0.000 0.500

(15)
Density functional theory data (PBE-GGA) for a relaxed Ni5AsSe2 crystal.

Calculated values
DFT total energy = -85.17 eV for the cell shown
Crystal system = tetragonal
Formation energy without anion corrections = -258 meV per atom
DOS(E_F) = 6.7 states/eV/f.u.
M_tot = 0.00 μB/cell

a b c (Å): 3.695 3.695 18.156
angles (deg): 90.00 90.00 90.00
Space group I4/mmm (No. 139)
Inequivalent atoms, fractional coordinates:
Ni 0.000 0.000 0.000
Ni 0.000 0.500 0.094
As 0.000 0.000 0.500
Se 0.000 0.000 0.173

(16)
Density functional theory data (PBE-GGA) for a relaxed Ni2AsSe crystal.

Calculated values
DFT total energy = -40.39 eV for the cell shown
Crystal system = monoclinic
Formation energy without anion corrections = -125 meV per atom
DOS(E_F) = 2.5 states/eV/f.u.
M_tot = 0.00 μB/cell

a b c (Å): 7.265 3.263 6.119
angles (deg): 90.00 113.00 90.00
Space group Cm (No. 8)
Inequivalent atoms, fractional coordinates:
Ni 0.000 0.000 0.000
Ni 0.219 0.000 0.786
As 0.468 0.000 0.646
Se 0.260 0.500 0.167

(17)
Density functional theory data (PBE-GGA) for a relaxed Ni4AsSe crystal.

Calculated values
DFT total energy = -117.91 eV for the cell shown
Crystal system = cubic
Formation energy without anion corrections = 297 meV per atom
DOS(E_F) = 6.6 states/eV/f.u.
M_tot = 8.77 μB/cell

a b c (Å): 6.864 6.864 6.864
angles (deg): 90.00 90.00 90.00
Space group F-43m (No. 216)
Inequivalent atoms, fractional coordinates:
Ni 0.125 0.125 0.125
As 0.000 0.000 0.500
Se 0.250 0.250 0.750

(18)
Density functional theory data (PBE-GGA) for a relaxed Ni2AsSe crystal.

Calculated values
DFT total energy = -40.89 eV for the cell shown
Crystal system = orthorhombic
Formation energy without anion corrections = -187 meV per atom
DOS(E_F) = 2.1 states/eV/f.u.
M_tot = 0.00 μB/cell

a b c (Å): 4.509 4.178 7.075
angles (deg): 90.00 90.00 90.00
Space group Amm2 (No. 38)
Inequivalent atoms, fractional coordinates:
Ni 0.000 0.000 0.000
Ni 0.500 0.000 0.197
As 0.500 0.000 0.864
Se 0.000 0.000 0.330

(19)
Density functional theory data (PBE-GGA) for a relaxed Si2NiAsSe crystal.

Calculated values
DFT total energy = -20.30 eV for the cell shown
Crystal system = tetragonal
Formation energy without anion corrections = 893 meV per atom
DOS(E_F) = 4.9 states/eV/f.u.
M_tot = 0.00 μB/cell

a b c (Å): 4.935 4.935 4.294
angles (deg): 90.00 90.00 90.00
Space group P4/mmm (No. 123)
Inequivalent atoms, fractional coordinates:
Si 0.000 0.500 0.000
Ni 0.000 0.000 0.500
As 0.500 0.500 0.500
Se 0.000 0.000 0.000

(20)
Density functional theory data (PBE-GGA) for a relaxed SiNiAs2Se crystal.

Calculated values
Offset from the most stable computed form = 0 meV/atom
DFT total energy = -21.04 eV for the cell shown
Crystal system = tetragonal
Formation energy without anion corrections = 589 meV per atom
DOS(E_F) = 4.0 states/eV/f.u.
M_tot = 0.00 μB/cell

a b c (Å): 4.508 4.508 5.005
angles (deg): 90.00 90.00 90.00
Space group P4/mmm (No. 123)
Inequivalent atoms, fractional coordinates:
Si 0.000 0.000 0.000
Ni 0.500 0.500 0.500
As 0.000 0.500 0.500
Se 0.500 0.500 0.000